A PBEsol-optimized structure of MgAlH4O2F5. Source: the Alexandria database, functional meta-GGA SCAN.

Geometry as extended XYZ:
```
26
Lattice="-3.561 5.162 3.221 3.561 -5.162 3.221 3.561 5.162 -3.221" Properties=species:S:1:pos:R:3 pbc="T T T"
Mg 0.000 0.000 0.000
Mg 0.000 5.162 0.000
Al -1.781 2.581 1.610
Al 1.781 2.581 1.610
H 2.777 -0.953 0.751
H 4.346 -0.953 0.751
H 2.777 4.209 -0.751
H 0.784 -0.953 2.470
H 2.777 6.115 0.751
H 0.784 0.953 3.972
H -0.784 6.115 2.470
H 0.784 6.115 2.470
O 3.561 -0.732 1.310
O 3.561 4.430 -1.310
O 0.000 0.732 4.530
O 0.000 5.894 1.911
F 1.480 1.302 0.372
F 5.643 1.302 0.372
F 3.561 2.581 1.156
F 1.480 3.860 0.372
F 2.082 -1.302 3.593
F 1.480 6.464 -0.372
F 2.082 1.302 2.849
F 0.000 2.581 2.065
F -2.082 3.860 2.849
F 2.082 3.860 2.849
```

The calculation puts the density of states at the Fermi level at 0.0 states/eV/cell. The calculation puts the uncorrected energy at -6.915 eV per atom. For the density, the calculation gives 2.56 Mg/m³.

A PBEsol-optimized structure of AlNiH16NO6F6. Source: the Alexandria database, functional meta-GGA SCAN.

Geometry as extended XYZ:
```
124
Lattice="12.346 0.000 0.000 0.000 6.443 0.000 -1.089 0.000 12.626" Properties=species:S:1:pos:R:3 pbc="T T T"
Al 0.000 0.000 0.000
Al -0.545 3.221 6.313
Al 6.173 0.000 0.000
Al 5.628 3.221 6.313
Ni 2.097 0.223 8.761
Ni 2.641 2.999 2.448
Ni 8.616 3.444 10.179
Ni 9.160 6.220 3.865
H -0.376 0.669 8.020
H 0.169 2.552 1.706
H 0.322 4.127 1.567
H -0.223 5.537 7.881
H 1.219 1.407 3.863
H 0.674 1.814 10.177
H 1.553 0.620 2.474
H 1.008 2.601 8.787
H 1.512 4.049 4.566
H 0.967 5.615 10.879
H 1.488 1.210 6.397
H 2.033 2.011 0.084
H 2.183 4.321 7.729
H 2.728 5.343 1.416
H 2.925 3.407 5.020
H 2.380 6.257 11.334
H 3.482 1.499 0.449
H 2.937 1.722 6.762
H 3.396 0.343 4.010
H 2.852 2.878 10.323
H 3.368 0.006 5.643
H 2.823 3.215 11.956
H 4.263 4.795 1.388
H 3.718 4.869 7.701
H 3.741 4.218 10.920
H 4.285 5.446 4.607
H 4.796 0.602 4.971
H 4.251 2.619 11.284
H 4.477 0.246 9.847
H 5.022 2.975 3.534
H 4.591 1.402 8.702
H 5.136 1.819 2.389
H 6.121 4.624 10.237
H 6.666 5.040 3.924
H 6.235 3.467 9.092
H 6.780 6.197 2.779
H 7.006 3.823 1.342
H 6.461 5.841 7.655
H 6.972 0.996 8.019
H 7.516 2.225 1.706
H 7.539 1.574 4.925
H 6.994 1.647 11.238
H 8.433 3.227 0.670
H 7.889 6.437 6.983
H 8.405 3.565 2.303
H 7.860 6.099 8.617
H 8.320 4.720 5.864
H 7.775 4.944 12.178
H 8.877 0.186 1.293
H 8.332 3.035 7.606
H 8.529 1.099 11.210
H 9.074 2.122 4.897
H 9.224 4.432 12.542
H 9.769 5.232 6.229
H 10.290 0.828 1.747
H 9.745 2.394 8.060
H 10.249 3.842 3.839
H 9.704 5.822 10.153
H 10.583 4.628 2.450
H 10.038 5.036 8.763
H 11.480 0.905 4.746
H 10.935 2.316 11.059
H 11.088 3.891 10.920
H 11.632 5.773 4.607
N 3.432 3.248 11.108
N 3.977 6.416 4.794
N 7.280 0.027 7.832
N 7.825 3.195 1.519
O 0.662 3.344 2.069
O 0.117 6.320 8.383
O 1.931 1.190 3.210
O 1.386 2.031 9.524
O 2.447 3.851 4.268
O 1.903 5.813 10.581
O 2.329 0.927 6.863
O 2.874 2.295 0.550
O 3.398 4.780 1.887
O 2.854 4.884 8.200
O 3.965 0.865 9.257
O 4.510 2.357 2.944
O 6.747 4.086 9.683
O 7.292 5.578 3.369
O 8.403 1.559 4.427
O 7.858 1.662 10.740
O 8.383 4.148 12.077
O 8.928 5.516 5.763
O 9.354 0.630 2.045
O 8.810 2.591 8.358
O 9.871 4.411 3.103
O 9.326 5.253 9.416
O 11.140 0.123 4.244
O 10.595 3.099 10.557
F 0.109 4.484 5.190
F -0.436 5.180 11.503
F -0.170 1.328 11.736
F 0.374 1.893 5.422
F 0.851 3.454 7.440
F 1.395 6.210 1.127
F 3.315 0.385 12.517
F 3.860 2.836 6.203
F 5.216 4.812 7.075
F 5.760 4.852 0.762
F 5.566 4.021 4.653
F 5.021 5.643 10.967
F 6.236 0.800 1.660
F 5.691 2.421 7.973
F 5.496 1.591 11.865
F 6.041 1.630 5.552
F 7.397 3.606 6.423
F 7.942 6.058 0.110
F 9.862 0.232 11.500
F 10.406 2.989 5.187
F 10.883 4.549 7.204
F 11.427 5.115 0.891
F 11.693 1.262 1.124
F 11.148 1.959 7.437
```

The calculation puts the density of states at the Fermi level at 0.0 states/eV/cell. The calculation puts the uncorrected energy at -6.282 eV per atom. For the density, the calculation gives 2.15 Mg/m³.

A PBEsol-optimized structure of Al8P8H34N7O36F5. Source: the Alexandria database, functional meta-GGA SCAN.

Geometry as extended XYZ:
```
98
Lattice="9.445 0.000 0.000 -0.039 9.550 0.000 -0.010 -0.018 9.917" Properties=species:S:1:pos:R:3 pbc="T T T"
Al 0.000 0.000 0.000
Al 0.402 2.002 4.596
Al 2.214 2.514 9.532
Al 2.655 4.513 4.980
Al 4.687 9.279 2.735
Al 5.119 7.320 8.094
Al 6.923 6.755 3.118
Al 7.421 4.693 7.720
P 2.932 2.393 2.772
P 2.959 9.065 9.856
P 4.390 4.290 7.760
P 4.468 7.146 4.939
P 7.642 6.892 9.905
P 7.713 0.268 2.799
P 9.103 5.048 4.921
P 9.145 2.071 7.698
H 0.361 4.164 0.970
H 0.379 7.222 3.402
H 0.544 6.923 8.496
H 0.911 1.702 1.461
H 1.174 8.660 3.850
H 1.230 6.098 7.147
H 1.375 8.031 2.264
H 1.403 5.464 8.733
H 1.721 2.810 6.433
H 2.065 7.219 3.620
H 2.261 0.335 5.925
H 2.231 6.877 8.295
H 3.099 0.768 7.391
H 3.603 5.898 1.874
H 3.657 4.309 1.276
H 3.637 9.054 6.406
H 3.718 1.086 5.809
H 4.244 5.574 0.304
H 5.060 5.140 1.777
H 5.096 2.006 9.220
H 5.300 2.421 4.114
H 5.632 7.606 1.272
H 5.986 0.612 8.781
H 5.974 3.265 5.457
H 6.097 1.247 0.461
H 6.159 3.872 3.865
H 6.792 2.079 9.056
H 6.989 2.464 4.331
H 7.282 8.845 6.691
H 7.415 7.361 6.233
H 7.776 8.490 5.043
H 8.378 3.351 0.921
H 8.378 4.961 1.461
H 9.006 3.755 2.472
N 1.255 7.782 3.263
N 1.347 6.340 8.152
N 3.195 0.432 6.401
N 4.133 5.242 1.293
N 5.991 1.483 9.376
N 6.100 3.002 4.461
N 8.889 4.050 1.470
O 0.791 1.643 0.468
O 1.122 5.474 5.232
O 1.178 2.496 7.933
O 1.452 1.987 2.988
O 1.516 8.617 0.221
O 1.840 2.882 5.439
O 3.006 0.853 9.099
O 3.178 2.610 1.266
O 3.222 3.754 3.459
O 3.426 6.149 4.369
O 3.622 8.011 8.959
O 3.673 4.438 6.425
O 3.672 9.209 1.285
O 3.764 3.206 8.639
O 3.927 1.358 3.352
O 4.185 8.526 4.279
O 4.227 7.358 6.449
O 4.411 5.628 8.522
O 5.513 7.652 2.263
O 5.853 3.856 7.439
O 5.909 6.693 4.682
O 6.171 7.327 9.673
O 6.257 0.688 2.460
O 7.659 8.504 3.640
O 7.849 8.260 6.097
O 7.896 6.702 1.493
O 7.905 5.522 9.220
O 8.164 3.107 8.324
O 8.334 1.378 3.639
O 8.379 4.953 6.268
O 8.453 0.031 1.488
O 8.481 6.128 4.026
O 8.646 7.898 9.324
O 8.857 0.716 8.383
O 8.873 1.952 6.202
O 9.087 3.707 4.171
F 0.990 0.309 4.918
F 1.628 4.215 9.861
F 5.885 8.929 7.659
F 6.382 5.047 2.730
F 6.552 6.382 7.284
```

The calculation puts the density of states at the Fermi level at 0.0 states/eV/cell. The calculation puts the uncorrected energy at -7.728 eV per atom. For the density, the calculation gives 2.35 Mg/m³.

A PBEsol-optimized structure of AlH15O6F6. Source: the Alexandria database, functional meta-GGA SCAN.

Geometry as extended XYZ:
```
56
Lattice="4.897 2.827 5.769 -4.897 2.827 5.769 0.000 -5.654 5.769" Properties=species:S:1:pos:R:3 pbc="T T T"
Al 0.000 0.000 0.000
Al 0.000 0.000 8.654
H -3.758 -1.545 9.069
H -0.845 -1.463 4.327
H -2.463 1.371 5.175
H -2.434 -1.456 8.060
H 0.044 -2.818 5.175
H -0.541 -4.027 8.239
H -0.541 -1.627 6.185
H -0.845 1.463 4.327
H -3.217 2.482 8.239
H -1.139 1.282 6.185
H -2.478 1.380 9.249
H -2.419 -1.447 12.133
H 0.044 -2.836 9.249
H 1.689 0.000 4.327
H -1.680 -0.345 11.123
H 1.680 0.345 6.185
H -1.689 0.000 12.981
H -0.044 2.836 8.060
H 2.419 1.447 5.175
H 2.478 -1.380 8.060
H 1.139 -1.282 11.123
H 3.217 -2.482 9.069
H 0.845 -1.463 12.981
H 0.541 1.627 11.123
H 0.541 4.027 9.069
H -0.044 2.818 12.133
H 2.434 1.456 9.249
H 2.463 -1.371 12.133
H 0.845 1.463 12.981
H 3.758 1.545 8.239
O -3.393 -1.738 8.153
O -0.191 -1.847 5.268
O -1.504 1.089 5.268
O -0.191 -3.807 9.155
O -3.201 2.069 9.155
O -1.695 -0.758 12.040
O 1.695 0.758 5.269
O 3.201 -2.069 8.153
O 0.191 3.807 8.153
O 1.504 -1.089 12.040
O 0.191 1.847 12.040
O 3.393 1.738 9.155
F -0.955 -4.504 6.805
F -4.378 -1.425 10.503
F -3.423 3.079 6.805
F -0.955 -1.150 7.619
F -1.474 0.252 9.690
F -0.519 1.403 7.619
F 0.519 -1.403 9.690
F 1.474 -0.252 7.619
F 0.955 1.150 9.690
F 3.423 -3.079 10.503
F 4.378 1.425 6.805
F 0.955 4.504 10.503
```

The calculation puts the density of states at the Fermi level at 0.0 states/eV/cell. The calculation puts the uncorrected energy at -5.828 eV per atom. For the density, the calculation gives 1.75 Mg/m³.

A PBEsol-optimized structure of AlH2Pb3OF9. Source: the Alexandria database, functional meta-GGA SCAN.

Geometry as extended XYZ:
```
32
Lattice="5.632 0.000 0.000 -0.059 5.868 0.000 -0.916 -2.050 12.377" Properties=species:S:1:pos:R:3 pbc="T T T"
Al 0.887 1.819 2.374
Al 3.771 2.000 10.003
H 0.002 2.379 12.154
H 1.398 1.994 11.452
H 3.260 1.825 0.925
H 4.656 1.440 0.223
Pb 0.976 4.741 4.701
Pb 0.936 1.737 7.618
Pb 0.995 -1.057 10.740
Pb 3.663 4.875 1.637
Pb 3.722 2.081 4.759
Pb 3.682 -0.922 7.676
O 0.980 2.600 12.135
O 3.678 1.218 0.242
F -0.451 0.443 6.136
F -0.036 3.366 2.377
F -0.383 2.969 9.532
F 0.595 1.519 0.620
F 1.191 2.153 4.157
F 1.326 -0.581 8.337
F 1.845 0.270 2.567
F 2.469 2.652 1.992
F 2.284 3.412 6.332
F 2.374 0.407 6.044
F 2.190 1.167 10.385
F 2.813 3.549 9.810
F 3.332 4.400 4.040
F 3.467 1.666 8.220
F 4.063 2.300 11.757
F 5.041 0.850 2.844
F 4.694 0.453 10.000
F 5.109 3.376 6.241
```

The calculation puts the density of states at the Fermi level at 0.0 states/eV/cell. The calculation puts the uncorrected energy at -20.049 eV per atom. For the density, the calculation gives 6.80 Mg/m³.

A PBEsol-optimized structure of AlHPb2F. Source: the Alexandria database, functional meta-GGA SCAN.

Geometry as extended XYZ:
```
5
Lattice="5.464 0.000 0.000 0.000 5.464 0.000 0.000 0.000 3.245" Properties=species:S:1:pos:R:3 pbc="T T T"
Al 0.000 0.000 0.000
H 0.000 0.000 1.622
Pb 0.000 2.732 0.000
Pb 2.732 0.000 0.000
F 2.732 2.732 1.622
```

The calculation puts the density of states at the Fermi level at 1.1 states/eV/cell. The calculation puts the uncorrected energy at -33.581 eV per atom. For the density, the calculation gives 7.91 Mg/m³.